1.
Mg2Co3O8: optimized geometry, PBE with a Hubbard U.

Structure (CIF):
```
data_Mg2Co3O8
_chemical_formula_sum 'Mg4 Co6 O16'
_cell_length_a 5.7142
_cell_length_b 5.7142
_cell_length_c 9.3274
_cell_angle_alpha 90.00
_cell_angle_beta 90.00
_cell_angle_gamma 120.00
_space_group_name_H-M_alt 'P 63 m c'
_space_group_IT_number 186
_space_group_name_Hall 'P 6c -2c'
loop_
_atom_site_label
_atom_site_fract_x
_atom_site_fract_y
_atom_site_fract_z
Mg1 0.3333 0.6667 0.0000
Mg2 0.3333 0.6667 0.4023
Co1 0.1642 0.3284 0.7232
O1 0.0000 0.0000 0.3295
O2 0.0380 0.5190 0.8379
O3 0.1574 0.3147 0.1252
O4 0.3333 0.6667 0.6155
```

Summary:
The calculated total energy is -5.84 eV/atom. Its energy above the lowest structure with this stoichiometry is 0.000 eV per atom.



2.
MgCo2O5: optimized geometry, PBE with a Hubbard U.

Structure (CIF):
```
data_MgCo2O5
_chemical_formula_sum 'Mg4 Co8 O20'
_cell_length_a 3.708
_cell_length_b 10.084
_cell_length_c 10.753
_cell_angle_alpha 90.00
_cell_angle_beta 90.00
_cell_angle_gamma 90.00
_space_group_name_H-M_alt 'C m c m'
_space_group_IT_number 63
_space_group_name_Hall '-C 2c 2'
loop_
_atom_site_label
_atom_site_fract_x
_atom_site_fract_y
_atom_site_fract_z
Mg1 0.000 0.111 0.250
Co1 0.000 0.202 0.597
O1 0.000 0.038 0.623
O2 0.000 0.248 0.078
O3 0.000 0.305 0.750
```

Summary:
The value obtained for the density of states at the Fermi level is 0.326 states/eV per atom. The calculated total energy is -5.63 eV/atom. Its energy above the lowest structure with this stoichiometry is 0.003 eV per atom.



3.
MgCoO3: optimized geometry, PBE with a Hubbard U.

Structure (CIF):
```
data_MgCoO3
_chemical_formula_sum 'Mg6 Co6 O18'
_cell_length_a 4.9626
_cell_length_b 4.9626
_cell_length_c 14.6227
_cell_angle_alpha 90.00
_cell_angle_beta 90.00
_cell_angle_gamma 120.00
_space_group_name_H-M_alt 'R 3 2'
_space_group_IT_number 155
_space_group_name_Hall 'R 3 2"'
loop_
_atom_site_label
_atom_site_fract_x
_atom_site_fract_y
_atom_site_fract_z
Mg1 0.0000 0.0000 0.1411
Co1 0.0000 0.0000 0.3403
O1 0.0178 0.3886 0.9187
```

Summary:
The value obtained for the density of states at the Fermi level is 0.309 states/eV per atom. The calculated total energy is -5.57 eV/atom.



4.
MgCoO2: optimized geometry, PBE with a Hubbard U.

Structure (CIF):
```
data_MgCoO2
_chemical_formula_sum 'Mg4 Co4 O8'
_cell_length_a 7.386
_cell_length_b 3.022
_cell_length_c 7.412
_cell_angle_alpha 90.00
_cell_angle_beta 109.33
_cell_angle_gamma 90.00
_space_group_name_H-M_alt 'P 1 21/m 1'
_space_group_IT_number 11
loop_
_space_group_symop_operation_xyz
'x,y,z'
'-x,-y,-z'
'-x,y+1/2,-z'
'x,-y+1/2,z'
loop_
_atom_site_label
_atom_site_fract_x
_atom_site_fract_y
_atom_site_fract_z
Mg1 0.061 0.250 0.189
Mg2 0.189 0.750 0.567
Co1 0.313 0.250 0.941
Co2 0.436 0.750 0.314
O1 0.060 0.250 0.685
O2 0.183 0.750 0.064
O3 0.308 0.250 0.438
O4 0.436 0.750 0.811
```

Summary:
The value obtained for the density of states at the Fermi level is 0.000 states/eV per atom. The calculated total energy is -6.01 eV/atom.



5.
MgCoO2: optimized geometry, PBE with a Hubbard U.

Structure (CIF):
```
data_MgCoO2
_chemical_formula_sum 'Mg3 Co3 O6'
_cell_length_a 3.0430
_cell_length_b 3.0430
_cell_length_c 16.9609
_cell_angle_alpha 90.00
_cell_angle_beta 90.00
_cell_angle_gamma 120.00
_space_group_name_H-M_alt 'R -3 m'
_space_group_IT_number 166
_space_group_name_Hall '-R 3 2"'
loop_
_atom_site_label
_atom_site_fract_x
_atom_site_fract_y
_atom_site_fract_z
Mg1 0.0000 0.0000 0.0000
Co1 0.0000 0.0000 0.5000
O1 0.0000 0.0000 0.3975
```

Summary:
The value obtained for the density of states at the Fermi level is 0.371 states/eV per atom. The calculated total energy is -5.75 eV/atom.



6.
MgCo4O9: optimized geometry, PBE with a Hubbard U.

Structure (CIF):
```
data_MgCo4O9
_chemical_formula_sum 'Mg2 Co8 O18'
_cell_length_a 8.175
_cell_length_b 4.826
_cell_length_c 11.529
_cell_angle_alpha 90.00
_cell_angle_beta 134.69
_cell_angle_gamma 90.00
_space_group_name_H-M_alt 'P 1 2/c 1'
_space_group_IT_number 13
loop_
_space_group_symop_operation_xyz
'x,y,z'
'-x,-y,-z'
'-x,y,-z+1/2'
'x,-y,z+1/2'
loop_
_atom_site_label
_atom_site_fract_x
_atom_site_fract_y
_atom_site_fract_z
Mg1 0.000 0.147 0.250
Co1 0.195 0.376 0.034
Co2 0.374 0.387 0.838
O1 0.103 0.444 0.148
O2 0.157 0.050 0.974
O3 0.302 0.057 0.817
O4 0.313 0.437 0.457
O5 0.500 0.487 0.250
```

Summary:
The value obtained for the density of states at the Fermi level is 0.436 states/eV per atom. The calculated total energy is -5.53 eV/atom.



| no. | M_tot (μB/cell) |
| --- | --- |
| 1 | 6.21 |
| 2 | 24.00 |
| 3 | 18.00 |
| 4 | 11.91 |
| 5 | 9.00 |
| 6 | 24.00 |